VASP calculation (GGA-PBE) on a relaxed TbGe2Bi2Pd7 crystal.

Summary:
- magnetic moment (μB/cell) = 0.00
- ΔE_f (eV per formula unit) = -5.6
- N(E_F) (states/eV/f.u.) = 4.5
- SG = C2/m, No. 12
- crystal system = monoclinic

abc: 4.078 4.078 14.215
angles: 84.67 84.67 89.53
Element x y z (fractional)
Tb1 0.000 0.000 0.000
Ge1 0.583 0.583 0.746
Ge2 0.417 0.417 0.254
Bi1 0.879 0.879 0.379
Bi2 0.121 0.121 0.621
Pd1 0.500 0.500 0.000
Pd2 0.346 0.346 0.431
Pd3 0.654 0.654 0.569
Pd4 0.951 0.452 0.152
Pd5 0.452 0.951 0.152
Pd6 0.548 0.049 0.848
Pd7 0.049 0.548 0.848